Entry 1:
The following is a DFT calculation (PBE) of TaNbW after structural relaxation.

Space-group type = Pnma
E_form = 78 meV per atom
Energy above the lowest structure with this stoichiometry = 0 meV per atom

Cell lengths 5.5441, 4.6750, 8.1934 Å; angles 90.00, 90.00, 90.00 degrees
Closest atoms and distances in Å follow each position.
Positions (direct):
Nb 0.5169 0.7500 0.2398  3 W 2.76-2.87, 2 Nb 2.78, 3 Ta 2.90-2.97
Nb 0.0169 0.7500 0.2602  3 W 2.76-2.87, 2 Nb 2.78, 3 Ta 2.90-2.97
Nb 0.9831 0.2500 0.7398  3 W 2.76-2.87, 2 Nb 2.78, 3 Ta 2.90-2.97
Nb 0.4831 0.2500 0.7602  3 W 2.76-2.87, 2 Nb 2.78, 3 Ta 2.90-2.97
Ta 0.8267 0.2500 0.0782  5 W 2.76-2.81, 3 Nb 2.90-2.97
Ta 0.3267 0.2500 0.4218  5 W 2.76-2.81, 3 Nb 2.90-2.97
Ta 0.6733 0.7500 0.5782  5 W 2.76-2.81, 3 Nb 2.90-2.97
Ta 0.1733 0.7500 0.9218  5 W 2.76-2.81, 3 Nb 2.90-2.97
W 0.3284 0.2500 0.0806  3 Nb 2.76-2.87, 5 Ta 2.76-2.81
W 0.8284 0.2500 0.4194  3 Nb 2.76-2.87, 5 Ta 2.76-2.81
W 0.1716 0.7500 0.5806  3 Nb 2.76-2.87, 5 Ta 2.76-2.81
W 0.6716 0.7500 0.9194  3 Nb 2.76-2.87, 5 Ta 2.76-2.81


Entry 2:
The following is a DFT calculation (PBE) of TaNbW2 after structural relaxation.

Space-group type = F-43m
E_form = -65 meV per atom

Cell lengths 4.5794, 4.5794, 4.5794 Å; angles 60.00, 60.00, 60.00 degrees
Closest atoms and distances in Å follow each position.
Positions (direct):
Nb 0.5000 0.5000 0.5000  4 W 2.80, 4 Ta 2.80
Ta 0.7500 0.7500 0.7500  4 Nb 2.80, 4 W 2.80
W 0.0000 0.0000 0.0000  4 W 2.80, 4 Ta 2.80
W 0.2500 0.2500 0.2500  4 W 2.80, 4 Nb 2.80


Entry 3:
The following is a DFT calculation (PBE) of TaNbW after structural relaxation.

Space-group type = F-43m
E_form = 697 meV per atom
Energy above the lowest structure with this stoichiometry = 619 meV per atom

Cell lengths 4.4425, 4.4425, 4.4425 Å; angles 60.00, 60.00, 60.00 degrees
Closest atoms and distances in Å follow each position.
Positions (direct):
Nb 0.2500 0.2500 0.2500  4 W 2.72
Ta 0.7500 0.7500 0.7500  4 W 2.72
W 0.0000 0.0000 0.0000  4 Ta 2.72, 4 Nb 2.72